No. 1
Crystalline TbPrCuNi at its relaxed geometry, computed with PBE.

Results
energy relative to the lowest polymorph listed for this composition = 0 meV/atom
DOS(E_F) = 7.14 states/eV/cell
formation enthalpy at 0 K = -0.273 eV per atom
raw total energy = -5.095 eV per atom
total magnetic moment = 0.0000 μB per atom

a b c (Å): 4.450 3.816 10.482
angles (deg): 90.00 90.00 90.00
Space group Amm2 (No. 38)
Inequivalent atoms, fractional coordinates:
Tb: 0.000 0.000 0.000
Pr: 0.500 0.000 0.278
Cu: 0.000 0.000 0.704
Ni: 0.500 0.000 0.566


No. 2
Crystalline LiEr5Mg4 at its relaxed geometry, computed with PBE.

Results
DOS(E_F) = 12.71 states/eV/cell
formation enthalpy at 0 K = -0.022 eV per atom
raw total energy = -3.133 eV per atom
total magnetic moment = 0.0000 μB per atom

a b c (Å): 3.744 3.744 18.771
angles (deg): 90.00 90.00 90.00
Space group P4/mmm (No. 123)
Inequivalent atoms, fractional coordinates:
Li: 0.000 0.000 0.000
Er: 0.500 0.500 0.099
Er: 0.500 0.500 0.298
Er: 0.500 0.500 0.500
Mg: 0.000 0.000 0.199
Mg: 0.000 0.000 0.399